1.
Below is crystalline Pa5BS4 at its relaxed geometry, with properties calculated at the PBE level.

Unit cell a=6.712 b=6.712 c=6.712 alpha=99.59 beta=99.59 gamma=131.82
Atoms (fractional coordinates):
1 Pa 0.000 0.000 0.000
2 Pa 0.213 0.596 0.809
3 Pa 0.404 0.213 0.617
4 Pa 0.596 0.787 0.383
5 Pa 0.787 0.404 0.191
6 B 0.500 0.500 0.000
7 S 0.096 0.301 0.398
8 S 0.301 0.904 0.205
9 S 0.699 0.096 0.795
10 S 0.904 0.699 0.602

Formation energy from raw total energies   -1.340 eV/atom
DFT total energy   -8.407 eV per atom

---

2.
Below is crystalline Pa3BS2 at its relaxed geometry, with properties calculated at the PBE level.

Unit cell a=7.724 b=5.449 c=11.580 alpha=90.00 beta=90.00 gamma=90.00
Atoms (fractional coordinates):
1 Pa 0.110 0.250 0.075
2 Pa 0.124 0.250 0.749
3 Pa 0.136 0.250 0.424
4 Pa 0.364 0.750 0.924
5 Pa 0.376 0.750 0.249
6 Pa 0.390 0.750 0.575
7 Pa 0.610 0.250 0.425
8 Pa 0.624 0.250 0.751
9 Pa 0.636 0.250 0.076
10 Pa 0.864 0.750 0.576
11 Pa 0.876 0.750 0.251
12 Pa 0.890 0.750 0.925
13 B 0.127 0.750 0.087
14 B 0.373 0.250 0.587
15 B 0.627 0.750 0.413
16 B 0.873 0.250 0.913
17 S 0.127 0.750 0.417
18 S 0.127 0.750 0.744
19 S 0.373 0.250 0.244
20 S 0.373 0.250 0.917
21 S 0.627 0.750 0.083
22 S 0.627 0.750 0.756
23 S 0.873 0.250 0.256
24 S 0.873 0.250 0.583

Formation energy from raw total energies   -1.134 eV/atom
DFT total energy   -8.371 eV per atom

---

3.
Below is crystalline PaB2S4 at its relaxed geometry, with properties calculated at the PBE level.

Unit cell a=5.524 b=5.524 c=5.524 alpha=101.57 beta=101.57 gamma=126.78
Atoms (fractional coordinates):
1 Pa 0.000 0.000 0.000
2 B 0.250 0.750 0.500
3 B 0.750 0.250 0.500
4 S 0.177 0.621 0.798
5 S 0.379 0.177 0.556
6 S 0.621 0.823 0.444
7 S 0.823 0.379 0.202

Formation energy from raw total energies   -0.321 eV/atom
DFT total energy   -5.944 eV per atom

---

4.
Below is crystalline Pa3BS6 at its relaxed geometry, with properties calculated at the PBE level.

Unit cell a=8.262 b=8.262 c=6.364 alpha=90.00 beta=90.00 gamma=101.29
Atoms (fractional coordinates):
1 Pa 0.118 0.882 0.500
2 Pa 0.230 0.429 0.559
3 Pa 0.429 0.230 0.059
4 Pa 0.571 0.770 0.559
5 Pa 0.770 0.571 0.059
6 Pa 0.882 0.118 0.000
7 B 0.300 0.700 0.116
8 B 0.700 0.300 0.616
9 S 0.090 0.602 0.241
10 S 0.136 0.181 0.283
11 S 0.181 0.136 0.783
12 S 0.288 0.712 0.806
13 S 0.398 0.910 0.241
14 S 0.446 0.554 0.216
15 S 0.554 0.446 0.716
16 S 0.602 0.090 0.741
17 S 0.712 0.288 0.306
18 S 0.819 0.864 0.283
19 S 0.864 0.819 0.783
20 S 0.910 0.398 0.741

Formation energy from raw total energies   -1.186 eV/atom
DFT total energy   -7.179 eV per atom

---

5.
Below is crystalline PaBS2 at its relaxed geometry, with properties calculated at the PBE level.

Unit cell a=8.069 b=8.069 c=8.069 alpha=22.35 beta=22.35 gamma=22.35
Atoms (fractional coordinates):
1 Pa 0.000 0.000 0.000
2 B 0.500 0.500 0.500
3 S 0.116 0.116 0.116
4 S 0.884 0.884 0.884

Polymorph energy (0 for the lowest one)   909 meV per atom
Formation energy from raw total energies   0.137 eV/atom
DFT total energy   -5.970 eV per atom

---

6.
Below is crystalline PaBS2 at its relaxed geometry, with properties calculated at the PBE level.

Unit cell a=5.370 b=4.052 c=5.079 alpha=71.04 beta=45.53 gamma=63.43
Atoms (fractional coordinates):
1 Pa 0.000 0.000 0.000
2 B 0.590 0.590 0.410
3 S 0.227 0.556 0.444
4 S 0.556 0.227 0.773

Polymorph energy (0 for the lowest one)   0 meV per atom
Formation energy from raw total energies   -0.772 eV/atom
DFT total energy   -6.879 eV per atom

---

7.
Below is crystalline Pa4BSe2S at its relaxed geometry, with properties calculated at the PBE level.

Unit cell a=6.704 b=3.855 c=7.115 alpha=90.00 beta=108.20 gamma=90.00
Atoms (fractional coordinates):
1 Pa 0.226 0.000 0.214
2 Pa 0.248 0.500 0.777
3 Pa 0.752 0.500 0.223
4 Pa 0.774 0.000 0.786
5 B 0.000 0.500 0.000
6 Se 0.000 0.000 0.500
7 Se 0.500 0.500 0.500
8 S 0.500 0.000 0.000

Formation energy from raw total energies   -1.108 eV/atom
DFT total energy   -8.078 eV per atom

---

8.
Below is crystalline PaTl2B2S6 at its relaxed geometry, with properties calculated at the PBE level.

Unit cell a=6.661 b=6.661 c=8.347 alpha=115.27 beta=115.27 gamma=60.64
Atoms (fractional coordinates):
1 Pa 0.000 0.000 0.000
2 Tl 0.198 0.198 0.688
3 Tl 0.802 0.802 0.312
4 B 0.441 0.441 0.212
5 B 0.559 0.559 0.788
6 S 0.233 0.695 0.733
7 S 0.262 0.262 0.128
8 S 0.305 0.767 0.267
9 S 0.695 0.233 0.733
10 S 0.738 0.738 0.872
11 S 0.767 0.305 0.267

Formation energy from raw total energies   -0.657 eV/atom
DFT total energy   -5.416 eV per atom

---

9.
Below is crystalline PaTl2BS5 at its relaxed geometry, with properties calculated at the PBE level.

Unit cell a=8.952 b=8.952 c=14.244 alpha=90.00 beta=90.00 gamma=154.16
Atoms (fractional coordinates):
1 Pa 0.183 0.817 0.500
2 Pa 0.817 0.183 0.000
3 Tl 0.111 0.889 0.816
4 Tl 0.125 0.875 0.132
5 Tl 0.875 0.125 0.632
6 Tl 0.889 0.111 0.316
7 B 0.426 0.574 0.864
8 B 0.574 0.426 0.364
9 S 0.040 0.960 0.450
10 S 0.316 0.684 0.121
11 S 0.320 0.680 0.865
12 S 0.326 0.674 0.478
13 S 0.484 0.516 0.762
14 S 0.516 0.484 0.262
15 S 0.674 0.326 0.978
16 S 0.680 0.320 0.365
17 S 0.684 0.316 0.621
18 S 0.960 0.040 0.950

Formation energy from raw total energies   -0.754 eV/atom
DFT total energy   -5.370 eV per atom

---

10.
Below is crystalline Pa4BSb2 at its relaxed geometry, with properties calculated at the PBE level.

Unit cell a=8.660 b=8.660 c=8.660 alpha=148.17 beta=148.17 gamma=45.63
Atoms (fractional coordinates):
1 Pa 0.000 0.500 0.500
2 Pa 0.155 0.155 0.000
3 Pa 0.500 0.000 0.500
4 Pa 0.845 0.845 0.000
5 B 0.000 0.000 0.000
6 Sb 0.356 0.356 0.000
7 Sb 0.644 0.644 0.000

Formation energy from raw total energies   -0.244 eV/atom
DFT total energy   -7.802 eV per atom

---

11.
Below is crystalline ScPaB4 at its relaxed geometry, with properties calculated at the PBE level.

Unit cell a=6.103 b=11.818 c=3.786 alpha=90.00 beta=90.00 gamma=90.00
Atoms (fractional coordinates):
1 Sc 0.135 0.088 0.000
2 Sc 0.365 0.588 0.000
3 Sc 0.635 0.412 0.000
4 Sc 0.865 0.912 0.000
5 Pa 0.128 0.349 0.000
6 Pa 0.372 0.849 0.000
7 Pa 0.628 0.151 0.000
8 Pa 0.872 0.651 0.000
9 B 0.028 0.806 0.500
10 B 0.117 0.952 0.500
11 B 0.130 0.531 0.500
12 B 0.207 0.687 0.500
13 B 0.293 0.187 0.500
14 B 0.370 0.031 0.500
15 B 0.383 0.452 0.500
16 B 0.472 0.306 0.500
17 B 0.528 0.694 0.500
18 B 0.617 0.548 0.500
19 B 0.630 0.969 0.500
20 B 0.707 0.813 0.500
21 B 0.793 0.313 0.500
22 B 0.870 0.469 0.500
23 B 0.883 0.048 0.500
24 B 0.972 0.194 0.500

Formation energy from the elements   -0.572 eV per atom
Polymorph energy (0 for the lowest one)   0 meV per atom
DFT total energy   -7.662 eV per atom

---

12.
Below is crystalline ScPaB4 at its relaxed geometry, with properties calculated at the PBE level.

Unit cell a=4.660 b=4.660 c=4.660 alpha=60.00 beta=60.00 gamma=60.00
Atoms (fractional coordinates):
1 Sc 0.000 0.000 0.000
2 Pa 0.750 0.750 0.750
3 B 0.404 0.404 0.404
4 B 0.404 0.404 0.787
5 B 0.404 0.787 0.404
6 B 0.787 0.404 0.404

Formation energy from the elements   0.289 eV per atom
Polymorph energy (0 for the lowest one)   861 meV per atom
DFT total energy   -6.800 eV per atom

---

13.
Below is crystalline ScPaB at its relaxed geometry, with properties calculated at the PBE level.

Unit cell a=11.757 b=11.757 c=11.757 alpha=16.99 beta=16.99 gamma=16.99
Atoms (fractional coordinates):
1 Sc 0.122 0.122 0.122
2 Sc 0.878 0.878 0.878
3 Pa 0.292 0.292 0.292
4 Pa 0.708 0.708 0.708
5 B 0.417 0.417 0.417
6 B 0.583 0.583 0.583

Formation energy from the elements   -0.033 eV per atom
DFT total energy   -7.535 eV per atom

---

14.
Below is crystalline Pa5BSe4 at its relaxed geometry, with properties calculated at the PBE level.

Unit cell a=6.948 b=6.948 c=6.948 alpha=99.62 beta=99.62 gamma=131.74
Atoms (fractional coordinates):
1 Pa 0.000 0.000 0.000
2 Pa 0.227 0.404 0.631
3 Pa 0.404 0.773 0.178
4 Pa 0.596 0.227 0.822
5 Pa 0.773 0.596 0.369
6 B 0.500 0.500 0.000
7 Se 0.090 0.694 0.784
8 Se 0.306 0.090 0.396
9 Se 0.694 0.910 0.604
10 Se 0.910 0.306 0.216

Formation energy from raw total energies   -1.013 eV/atom
DFT total energy   -7.823 eV per atom

---

15.
Below is crystalline Pa2BSe6 at its relaxed geometry, with properties calculated at the PBE level.

Unit cell a=6.050 b=7.857 c=10.518 alpha=90.00 beta=125.12 gamma=90.00
Atoms (fractional coordinates):
1 Pa 0.146 0.116 0.250
2 Pa 0.146 0.384 0.750
3 Pa 0.854 0.616 0.250
4 Pa 0.854 0.884 0.750
5 B 0.500 0.000 0.000
6 B 0.500 0.500 0.500
7 Se 0.088 0.178 0.951
8 Se 0.088 0.322 0.451
9 Se 0.301 0.659 0.961
10 Se 0.301 0.841 0.461
11 Se 0.364 0.018 0.779
12 Se 0.364 0.482 0.279
13 Se 0.636 0.518 0.721
14 Se 0.636 0.982 0.221
15 Se 0.699 0.159 0.539
16 Se 0.699 0.341 0.039
17 Se 0.912 0.678 0.549
18 Se 0.912 0.822 0.049

Formation energy from raw total energies   -0.797 eV/atom
DFT total energy   -5.973 eV per atom

---

16.
Below is crystalline Pa4B2Se5 at its relaxed geometry, with properties calculated at the PBE level.

Unit cell a=9.577 b=9.577 c=9.577 alpha=155.98 beta=134.14 gamma=52.43
Atoms (fractional coordinates):
1 Pa 0.187 0.187 0.000
2 Pa 0.214 0.500 0.714
3 Pa 0.786 0.500 0.286
4 Pa 0.813 0.813 0.000
5 B 0.048 0.048 0.000
6 B 0.952 0.952 0.000
7 Se 0.105 0.334 0.772
8 Se 0.438 0.666 0.772
9 Se 0.500 0.000 0.500
10 Se 0.562 0.334 0.228
11 Se 0.895 0.666 0.228

Formation energy from raw total energies   -1.058 eV/atom
DFT total energy   -7.309 eV per atom

---

17.
Below is crystalline Pa4BSe5 at its relaxed geometry, with properties calculated at the PBE level.

Unit cell a=8.898 b=8.898 c=7.860 alpha=102.75 beta=102.75 gamma=25.60
Atoms (fractional coordinates):
1 Pa 0.003 0.003 0.277
2 Pa 0.346 0.346 0.416
3 Pa 0.654 0.654 0.584
4 Pa 0.997 0.997 0.723
5 B 0.500 0.500 0.500
6 Se 0.166 0.166 0.843
7 Se 0.173 0.173 0.328
8 Se 0.500 0.500 0.000
9 Se 0.827 0.827 0.672
10 Se 0.834 0.834 0.157

Formation energy from raw total energies   -1.078 eV/atom
DFT total energy   -7.287 eV per atom

---

18.
Below is crystalline Pa3BSe6 at its relaxed geometry, with properties calculated at the PBE level.

Unit cell a=8.699 b=8.699 c=6.664 alpha=90.00 beta=90.00 gamma=101.04
Atoms (fractional coordinates):
1 Pa 0.112 0.888 0.500
2 Pa 0.238 0.430 0.423
3 Pa 0.430 0.238 0.923
4 Pa 0.570 0.762 0.423
5 Pa 0.762 0.570 0.923
6 Pa 0.888 0.112 0.000
7 B 0.292 0.708 0.871
8 B 0.708 0.292 0.371
9 Se 0.081 0.600 0.736
10 Se 0.130 0.191 0.708
11 Se 0.191 0.130 0.208
12 Se 0.281 0.719 0.192
13 Se 0.400 0.919 0.736
14 Se 0.443 0.557 0.769
15 Se 0.557 0.443 0.269
16 Se 0.600 0.081 0.236
17 Se 0.719 0.281 0.692
18 Se 0.809 0.870 0.708
19 Se 0.870 0.809 0.208
20 Se 0.919 0.400 0.236

Formation energy from raw total energies   -0.892 eV/atom
DFT total energy   -6.499 eV per atom

---

19.
Below is crystalline Pa2BSe at its relaxed geometry, with properties calculated at the PBE level.

Unit cell a=7.000 b=7.000 c=7.000 alpha=31.87 beta=31.87 gamma=31.87
Atoms (fractional coordinates):
1 Pa 0.236 0.236 0.236
2 Pa 0.764 0.764 0.764
3 B 0.500 0.500 0.500
4 Se 0.000 0.000 0.000

Formation energy from raw total energies   -0.767 eV/atom
DFT total energy   -8.056 eV per atom

---

20.
Below is crystalline PaBSe3 at its relaxed geometry, with properties calculated at the PBE level.

Unit cell a=8.734 b=8.734 c=8.734 alpha=65.97 beta=131.67 gamma=137.93
Atoms (fractional coordinates):
1 Pa 0.083 0.250 0.333
2 Pa 0.917 0.750 0.667
3 B 0.459 0.265 0.694
4 B 0.571 0.765 0.306
5 Se 0.225 0.219 0.742
6 Se 0.225 0.983 0.506
7 Se 0.478 0.483 0.258
8 Se 0.478 0.719 0.494
9 Se 0.488 0.924 0.064
10 Se 0.860 0.424 0.936

Formation energy from raw total energies   -0.703 eV/atom
DFT total energy   -6.028 eV per atom